# KAcNiO3

KAcNiO3 after structural relaxation (PBE+U, Alexandria).

```
KAcNiO3
1.0
3.985 0.000 0.000
-1.993 6.833 -0.051
0.000 -2.113 7.301
K Ac Ni O
2 2 2 6
direct
0.361 0.722 0.935
0.639 0.278 0.065
0.651 0.301 0.589
0.349 0.699 0.411
0.008 0.016 0.275
0.992 0.984 0.725
0.860 0.720 0.211
0.843 0.686 0.638
0.508 0.016 0.294
0.157 0.314 0.362
0.492 0.984 0.706
0.140 0.280 0.789
```

Results
density of states at the Fermi level = 0.0 states/eV/f.u.
space group = C2/m, No. 12
V = 198.4 Å³/cell
final energy = -69.0 eV per cell
total magnetization = 0.01 μB per formula unit